Arrangement P

VASP calculation (PBE) on a relaxed KMgBr2 crystal.

Summary:
**SG**: Pmmm
**Magnetic moment**: 0.81 Bohr magnetons per cell

abc: 4.080 4.011 7.763
angles: 89.98 90.00 90.00
Each line ends with the local moment (μB).
Atoms (fractional coordinates):
Mg: 0.500 0.750 0.750  0.09
K: 0.500 0.250 0.250  0.01
Br: 0.000 0.751 0.001  0.06
Br: 0.000 0.749 0.499  0.06



Arrangement Q

VASP calculation (PBE) on a relaxed KMgBr2 crystal.

Summary:
**SG**: Cm
**Magnetic moment**: 0.63 Bohr magnetons per cell

abc: 7.138 7.138 4.626
angles: 91.08 91.08 35.55
Each line ends with the local moment (μB).
Atoms (fractional coordinates):
Br: 0.753 0.753 0.697  0.06
Br: 0.042 0.042 0.118  0.02
K: 0.472 0.472 0.613  0.01
Mg: 0.233 0.233 0.072  0.09



Which of them is most stable, and which least? Most stable: arrangement Q; least stable: arrangement P.



Arrangement P

VASP calculation (PBE) on a relaxed SiB2PC crystal.

Summary:
**SG**: P1
**Magnetic moment**: 0.00 Bohr magnetons per cell

abc: 3.082 3.107 6.564
angles: 85.58 82.51 64.76
Atoms (fractional coordinates):
B: 0.066 0.576 0.043
B: 0.517 0.022 0.399
C: 0.486 0.958 0.633
Si: 0.116 0.619 0.736
P: 0.053 0.058 0.215



Arrangement Q

VASP calculation (PBE) on a relaxed SiB2PC crystal.

Summary:
**SG**: Pm
**Magnetic moment**: 0.00 Bohr magnetons per cell

abc: 3.726 2.954 4.813
angles: 90.00 111.05 90.00
Atoms (fractional coordinates):
P: 0.372 0.000 0.970
C: 0.665 0.500 0.960
B: 0.719 0.500 0.632
B: 0.939 0.000 0.589
Si: 0.095 0.500 0.343



Which of them is most stable, and which least? Most stable: arrangement P; least stable: arrangement Q.



Arrangement P

VASP calculation (PBE) on a relaxed YSeBr2 crystal.

Summary:
**SG**: R-3m
**Magnetic moment**: 0.00 Bohr magnetons per cell

abc: 10.005 10.005 10.005
angles: 21.54 21.54 21.54
Atoms (fractional coordinates):
Y: 0.750 0.750 0.750
Br: 0.479 0.479 0.479
Br: 0.021 0.021 0.021
Se: 0.250 0.250 0.250



Arrangement Q

VASP calculation (PBE) on a relaxed YSeBr2 crystal.

Summary:
**SG**: I-42d
**Magnetic moment**: 2.00 Bohr magnetons per cell

abc: 10.189 10.189 7.729
angles: 48.77 48.77 90.00
Each line ends with the local moment (μB).
Atoms (fractional coordinates):
Br: 0.875 0.020 0.750  0.08
Se: 0.500 0.500 0.000  0.46
Br: 0.980 0.625 0.250  0.09
Y: 0.750 0.250 0.500  -0.01
Br: 0.375 0.230 0.750  0.09
Br: 0.770 0.125 0.250  0.09
Se: 0.250 0.750 0.500  0.46
Y: 0.000 0.000 0.000  -0.01



Which of them is most stable, and which least? Most stable: arrangement Q; least stable: arrangement P.



Arrangement P

VASP calculation (PBE) on a relaxed Cd2W crystal.

Summary:
**SG**: P-62m
**Magnetic moment**: 0.04 Bohr magnetons per cell

abc: 8.691 8.691 2.715
angles: 90.00 90.00 120.00
Atoms (fractional coordinates):
Cd: 0.613 0.000 0.500
W: 0.333 0.667 0.000
Cd: 0.294 0.000 0.000
Cd: 0.387 0.387 0.500
Cd: 0.000 0.294 0.000
W: 0.667 0.333 0.000
W: 0.000 0.000 0.500
Cd: 0.000 0.613 0.500
Cd: 0.706 0.706 0.000



Arrangement Q

VASP calculation (PBE) on a relaxed Cd2W crystal.

Summary:
**SG**: Pnma
**Magnetic moment**: 0.00 Bohr magnetons per cell

abc: 6.027 3.112 12.635
angles: 90.00 90.00 90.00
Atoms (fractional coordinates):
W: 0.583 0.250 0.567
Cd: 0.141 0.250 0.250
Cd: 0.397 0.750 0.082
W: 0.417 0.750 0.433
Cd: 0.897 0.750 0.418
W: 0.083 0.250 0.933
Cd: 0.641 0.250 0.250
Cd: 0.103 0.250 0.582
Cd: 0.603 0.250 0.918
W: 0.917 0.750 0.067
Cd: 0.359 0.750 0.750
Cd: 0.859 0.750 0.750



Which of them is most stable, and which least? Most stable: arrangement Q; least stable: arrangement P.



Arrangement P

VASP calculation (PBE) on a relaxed MnTe2Au crystal.

Summary:
**SG**: P2_1/m
**Magnetic moment**: 7.55 Bohr magnetons per cell

abc: 4.027 6.933 8.466
angles: 105.93 90.00 90.00
Each line ends with the local moment (μB).
Atoms (fractional coordinates):
Te: 0.750 0.864 0.309  -0.07
Au: 0.750 0.838 0.992  0.02
Au: 0.250 0.162 0.008  0.02
Mn: 0.250 0.753 0.488  3.64
Te: 0.250 0.136 0.691  -0.07
Mn: 0.750 0.247 0.512  3.64
Te: 0.750 0.653 0.674  -0.07
Te: 0.250 0.347 0.326  -0.07



Arrangement Q

VASP calculation (PBE) on a relaxed MnTe2Au crystal.

Summary:
**SG**: P-1
**Magnetic moment**: 3.75 Bohr magnetons per cell

abc: 3.478 4.821 7.024
angles: 99.58 104.25 90.07
Each line ends with the local moment (μB).
Atoms (fractional coordinates):
Mn: 0.625 0.759 0.000  3.55
Au: 0.125 0.259 0.000  0.06
Te: 0.271 0.954 0.294  -0.04
Te: 0.979 0.564 0.706  -0.04



Which of them is most stable, and which least? Most stable: arrangement P; least stable: arrangement Q.



Arrangement P

VASP calculation (PBE) on a relaxed B2C crystal.

Summary:
**SG**: P2/m
**Magnetic moment**: 0.00 Bohr magnetons per cell

abc: 2.731 4.750 6.644
angles: 88.01 90.00 90.00
Atoms (fractional coordinates):
C: 0.500 0.831 0.235
B: 0.000 0.679 0.513
B: 0.000 0.322 0.084
C: 0.500 0.154 0.533
C: 0.500 0.846 0.467
B: 0.000 0.946 0.126
B: 0.000 0.321 0.487
B: 0.000 0.678 0.916
B: 0.500 0.531 0.137
B: 0.000 0.054 0.874
C: 0.500 0.169 0.765
B: 0.500 0.469 0.863



Arrangement Q

VASP calculation (PBE) on a relaxed B2C crystal.

Summary:
**SG**: P2
**Magnetic moment**: 0.00 Bohr magnetons per cell

abc: 3.679 4.289 5.745
angles: 69.22 90.00 90.00
Atoms (fractional coordinates):
B: 0.801 0.500 0.500
B: 0.999 0.714 0.674
C: 0.739 0.169 0.142
B: 0.999 0.286 0.326
B: 0.512 0.500 0.000
C: 0.245 0.000 0.500
B: 0.557 0.121 0.636
B: 0.188 0.309 0.807
B: 0.557 0.879 0.364
B: 0.188 0.691 0.193
C: 0.977 0.000 0.000
C: 0.739 0.831 0.858



Which of them is most stable, and which least? Most stable: arrangement P; least stable: arrangement Q.